Material: ZnAg2Hg
Method: DFT, PBE
State: relaxed

The structure in POSCAR format:
```
ZnAg2Hg
1.0
-1.980 4.163 -2.469
-5.166 -0.353 -0.728
3.125 -0.606 4.149
Zn Hg Ag
1 1 2
Direct
0.750 0.250 0.500
0.250 0.750 0.500
0.000 0.000 0.000
0.500 0.500 0.000
```

Values from the calculation:
E: -1.768 eV per atom
spin magnetization: 0.00 μB/f.u.
energy relative to the elements: 0.052 eV per atom
energy above the lowest structure with this stoichiometry: 0.020 eV per atom